Record 1
The following is a DFT calculation (PBE) of a relaxed Ta2NbOs crystal.

Summary:
volume	137.9	Å³ per cell
formation enthalpy at 0 K	-29.50	kJ per mole of atoms
crystal system	tetragonal
ρ	15.54	g/cm3
E above lowest polymorph	10	meV/atom

a = 5.1835 Å, b = 5.1835 Å, c = 5.1310 Å
α = 90.00°, β = 90.00°, γ = 90.00°
Closest atoms and distances in Å follow each position.
Fractional coordinates of all 8 atoms:
Ta 0.0000 0.2495 0.0000  2 Ta 2.59-2.60, 4 Os 2.88-2.90
Ta 0.0000 0.7505 0.0000  2 Ta 2.59-2.60, 4 Os 2.88-2.90
Ta 0.2495 0.0000 0.5000  2 Ta 2.59-2.60, 4 Os 2.88-2.90
Ta 0.7505 0.0000 0.5000  2 Ta 2.59-2.60, 4 Os 2.88-2.90
Nb 0.5000 0.5000 0.2500  2 Nb 2.57
Nb 0.5000 0.5000 0.7500  2 Nb 2.57
Os 0.0000 0.5000 0.5000  8 Ta 2.88-2.90, 4 Nb 2.89
Os 0.5000 0.0000 0.0000  8 Ta 2.88-2.90, 4 Nb 2.89

---

Record 2
The following is a DFT calculation (PBE) of a relaxed ScHgPd2 crystal.

Summary:
volume	71.0	Å³ per cell
formation enthalpy at 0 K	-51.19	kJ per mole of atoms
crystal system	cubic
ρ	10.72	g/cm3

a = 4.6476 Å, b = 4.6476 Å, c = 4.6476 Å
α = 60.00°, β = 60.00°, γ = 60.00°
Closest atoms and distances in Å follow each position.
Fractional coordinates of all 4 atoms:
Sc 0.0000 0.0000 0.0000  4 Hg 2.85, 4 Pd 2.85
Hg 0.2500 0.2500 0.2500  4 Sc 2.85, 4 Pd 2.85
Pd 0.5000 0.5000 0.5000  4 Hg 2.85, 4 Pd 2.85
Pd 0.7500 0.7500 0.7500  4 Sc 2.85, 4 Pd 2.85

---

Record 3
The following is a DFT calculation (PBE) of a relaxed BeFeBAs crystal.

Summary:
volume	40.9	Å³ per cell
crystal system	cubic
ρ	6.11	g/cm3
E above lowest polymorph	0	meV/atom

a = 3.8680 Å, b = 3.8680 Å, c = 3.8680 Å
α = 60.00°, β = 60.00°, γ = 60.00°
Closest atoms and distances in Å follow each position.
Fractional coordinates of all 4 atoms:
Be 0.0000 0.0000 0.0000  4 B 2.37, 4 As 2.37
Fe 0.5000 0.5000 0.5000  4 As 2.37, 4 B 2.37
B 0.7500 0.7500 0.7500  4 Be 2.37, 4 Fe 2.37
As 0.2500 0.2500 0.2500  4 Fe 2.37, 4 Be 2.37